(1)
Entry from the Alexandria database: an optimized crystal structure of CaPr3Ho8 (PBE).

Cell lengths 8.5444, 8.5444, 8.5444 Å; angles 92.86, 118.36, 118.36 degrees
Closest atoms and distances in Å follow each position.
Atoms (fractional coordinates):
1 Ho 0.0000 0.8613 0.5928  3 Pr 3.15-3.42, 3 Ho 3.19-3.38
2 Ho 0.0000 0.5928 0.8613  3 Pr 3.15-3.42, 3 Ho 3.19-3.38
3 Ca 0.0000 0.0000 0.0000  8 Ho 3.34-3.62
4 Pr 0.0000 0.5000 0.5000  8 Ho 2.93-3.15
5 Ho 0.2685 0.4072 0.4072  3 Pr 3.15-3.42, 3 Ho 3.19-3.38
6 Ho 0.4661 0.7740 0.7740  1 Pr 2.93, 1 Ho 3.19
7 Pr 0.5000 0.7500 0.2500  4 Ho 3.42
8 Ho 0.0000 0.6921 0.2260  1 Pr 2.93, 1 Ho 3.19
9 Ho 0.7315 0.1387 0.1387  3 Pr 3.15-3.42, 3 Ho 3.19-3.38
10 Ho 0.0000 0.2260 0.6921  1 Pr 2.93, 1 Ho 3.19
11 Ho 0.5339 0.3079 0.3079  1 Pr 2.93, 1 Ho 3.19
12 Pr 0.5000 0.2500 0.7500  4 Ho 3.42

E in eV per formula unit: -45.15
Energy of formation from the pure elements in eV per atom: 0.651



(2)
Entry from the Alexandria database: an optimized crystal structure of CaPrHo2 (PBE).

Cell lengths 3.6658, 3.6658, 10.3583 Å; angles 90.00, 90.00, 90.00 degrees
Closest atoms and distances in Å follow each position.
Atoms (fractional coordinates):
1 Ho 0.0000 0.0000 0.7654  4 Pr 3.55, 4 Ho 3.67, 4 Ca 3.78
2 Ca 0.5000 0.5000 0.5000  4 Ca 3.67, 8 Ho 3.78
3 Pr 0.5000 0.5000 0.0000  8 Ho 3.55, 4 Pr 3.67
4 Ho 0.0000 0.0000 0.2346  4 Pr 3.55, 4 Ho 3.67, 4 Ca 3.78

Excess energy over the best structure of this formula in the dataset in eV per atom: 0.016
E in eV per formula unit: -15.60
Energy of formation from the pure elements in eV per atom: 0.084



(3)
Entry from the Alexandria database: an optimized crystal structure of CaPrHo2 (PBE).

Cell lengths 3.6319, 3.6319, 12.2246 Å; angles 81.46, 81.46, 60.00 degrees
Closest atoms and distances in Å follow each position.
Atoms (fractional coordinates):
1 Ca 0.5005 0.5005 0.4986  6 Ca 3.63, 6 Ho 3.75-3.78
2 Ho 0.0800 0.0800 0.7600  3 Pr 3.58, 6 Ho 3.63, 3 Ca 3.78
3 Ho 0.2533 0.2533 0.2400  3 Pr 3.56, 6 Ho 3.63, 3 Ca 3.75
4 Pr 0.6662 0.6662 0.0015  6 Ho 3.56-3.58, 6 Pr 3.63

Excess energy over the best structure of this formula in the dataset in eV per atom: 0.000
E in eV per formula unit: -15.67
Energy of formation from the pure elements in eV per atom: 0.068



(4)
Entry from the Alexandria database: an optimized crystal structure of Ca2Pr5Ho6 (PBE).

Cell lengths 3.5895, 12.1457, 20.6740 Å; angles 90.00, 90.00, 90.00 degrees
Closest atoms and distances in Å follow each position.
Atoms (fractional coordinates):
1 Pr 0.5000 0.6071 0.2844  5 Ho 3.25-3.51, 2 Pr 3.59
2 Pr 0.5000 0.7953 0.0517  3 Pr 3.59-3.74, 7 Ho 3.64-3.77, 2 Ca 3.92
3 Ho 0.0000 0.9422 0.9250  5 Ho 3.40-3.74, 6 Pr 3.47-3.69
4 Pr 0.5000 0.3929 0.7156  5 Ho 3.25-3.51, 2 Pr 3.59
5 Pr 0.5000 0.0000 0.5000  6 Ho 3.30-3.51, 2 Pr 3.59
6 Pr 0.5000 0.1071 0.2156  5 Ho 3.25-3.51, 2 Pr 3.59
7 Ho 0.0000 0.5578 0.4250  5 Ho 3.40-3.74, 6 Pr 3.47-3.69
8 Ho 0.0000 0.4422 0.5750  5 Ho 3.40-3.74, 6 Pr 3.47-3.69
9 Pr 0.5000 0.7047 0.5517  3 Pr 3.59-3.74, 7 Ho 3.64-3.77, 2 Ca 3.92
10 Ca 0.0000 0.3445 0.2825  2 Ca 3.59, 6 Pr 3.66-3.92, 4 Ho 3.70-3.92
11 Ho 0.5000 0.3175 0.1182  2 Pr 3.25-3.30, 4 Ho 3.58-3.59
12 Pr 0.5000 0.8929 0.7844  5 Ho 3.25-3.51, 2 Pr 3.59
13 Ca 0.0000 0.8445 0.2175  2 Ca 3.59, 6 Pr 3.66-3.92, 4 Ho 3.70-3.92
14 Pr 0.5000 0.2953 0.4483  3 Pr 3.59-3.74, 7 Ho 3.64-3.77, 2 Ca 3.92
15 Ho 0.0000 0.9302 0.6400  6 Pr 3.51-3.75, 4 Ho 3.58-3.59, 1 Ca 3.70
16 Ho 0.0000 0.5698 0.1400  6 Pr 3.51-3.75, 4 Ho 3.58-3.59, 1 Ca 3.70
17 Pr 0.5000 0.2047 0.9483  3 Pr 3.59-3.74, 7 Ho 3.64-3.77, 2 Ca 3.92
18 Ho 0.5000 0.8175 0.3818  2 Pr 3.25-3.30, 4 Ho 3.58-3.59
19 Ca 0.0000 0.1555 0.7825  2 Ca 3.59, 6 Pr 3.66-3.92, 4 Ho 3.70-3.92
20 Ho 0.0000 0.4302 0.8600  6 Pr 3.51-3.75, 4 Ho 3.58-3.59, 1 Ca 3.70
21 Ho 0.0000 0.0698 0.3600  6 Pr 3.51-3.75, 4 Ho 3.58-3.59, 1 Ca 3.70
22 Pr 0.5000 0.5000 0.0000  6 Ho 3.30-3.51, 2 Pr 3.59
23 Ho 0.0000 0.0578 0.0750  5 Ho 3.40-3.74, 6 Pr 3.47-3.69
24 Ca 0.0000 0.6555 0.7175  2 Ca 3.59, 6 Pr 3.66-3.92, 4 Ho 3.70-3.92
25 Ho 0.5000 0.6825 0.8818  2 Pr 3.25-3.30, 4 Ho 3.58-3.59
26 Ho 0.5000 0.1825 0.6182  2 Pr 3.25-3.30, 4 Ho 3.58-3.59

E in eV per formula unit: -53.70
Energy of formation from the pure elements in eV per atom: 0.128



(5)
Entry from the Alexandria database: an optimized crystal structure of CaPr3Ho2 (PBE).

Cell lengths 8.0197, 6.7600, 8.0197 Å; angles 90.05, 101.27, 89.95 degrees
Closest atoms and distances in Å follow each position.
Atoms (fractional coordinates):
1 Ho 0.1717 0.0000 0.1717  3 Ho 3.38-3.49, 4 Pr 3.56-3.58, 2 Ca 3.75
2 Ho 0.8281 0.5000 0.8281  3 Ho 3.38-3.50, 4 Pr 3.56-3.58, 2 Ca 3.75
3 Pr 0.4243 0.2497 0.9190  4 Pr 3.37-3.74, 2 Ho 3.56, 1 Ca 3.74
4 Ca 0.5198 0.2499 0.4802  1 Pr 3.33, 2 Ca 3.42
5 Ca 0.4802 0.7501 0.5198  1 Pr 3.33, 2 Ca 3.42
6 Pr 0.9190 0.7503 0.4243  4 Pr 3.37-3.74, 2 Ho 3.56, 1 Ca 3.74
7 Pr 0.7881 0.2506 0.2119  1 Ca 3.33, 2 Pr 3.37, 4 Ho 3.58
8 Ho 0.8283 0.0000 0.8283  3 Ho 3.38-3.49, 4 Pr 3.56-3.58, 2 Ca 3.75
9 Pr 0.5757 0.7503 0.0810  4 Pr 3.37-3.74, 2 Ho 3.56, 1 Ca 3.74
10 Ho 0.1719 0.5000 0.1719  3 Ho 3.38-3.50, 4 Pr 3.56-3.58, 2 Ca 3.75
11 Pr 0.2119 0.7494 0.7881  1 Ca 3.33, 2 Pr 3.37, 4 Ho 3.58
12 Pr 0.0810 0.2497 0.5757  4 Pr 3.37-3.74, 2 Ho 3.56, 1 Ca 3.74

E in eV per formula unit: -24.36
Energy of formation from the pure elements in eV per atom: 0.190



(6)
Entry from the Alexandria database: an optimized crystal structure of CaPr15Ho4 (PBE).

Cell lengths 5.2140, 5.2140, 25.9648 Å; angles 90.00, 90.00, 90.00 degrees
Closest atoms and distances in Å follow each position.
Atoms (fractional coordinates):
1 Pr 0.5000 0.5000 0.7984  8 Pr 3.64-3.68, 4 Ho 3.69
2 Pr 0.0000 0.5000 0.3015  8 Pr 3.66-3.69, 4 Ho 3.67-3.68
3 Pr 0.5000 0.0000 0.6985  8 Pr 3.66-3.69, 4 Ho 3.67-3.68
4 Pr 0.5000 0.5000 0.5996  8 Pr 3.66-3.67, 4 Ho 3.69
5 Pr 0.0000 0.5000 0.1039  2 Ho 3.64, 8 Pr 3.64-3.75, 2 Ca 3.75
6 Pr 0.5000 0.5000 0.0000  4 Ca 3.69, 8 Pr 3.75
7 Ca 0.0000 0.0000 0.0000  12 Pr 3.69-3.75
8 Pr 0.5000 0.0000 0.5000  4 Ho 3.66, 8 Pr 3.67-3.69
9 Pr 0.5000 0.5000 0.2016  8 Pr 3.64-3.68, 4 Ho 3.69
10 Pr 0.0000 0.5000 0.6985  8 Pr 3.66-3.69, 4 Ho 3.67-3.68
11 Pr 0.5000 0.0000 0.8961  2 Ho 3.64, 8 Pr 3.64-3.75, 2 Ca 3.75
12 Ho 0.0000 0.0000 0.4008  12 Pr 3.66-3.69
13 Pr 0.5000 0.0000 0.3015  8 Pr 3.66-3.69, 4 Ho 3.67-3.68
14 Pr 0.0000 0.5000 0.8961  2 Ho 3.64, 8 Pr 3.64-3.75, 2 Ca 3.75
15 Ho 0.0000 0.0000 0.7985  12 Pr 3.64-3.69
16 Pr 0.5000 0.5000 0.4004  8 Pr 3.66-3.67, 4 Ho 3.69
17 Ho 0.0000 0.0000 0.2015  12 Pr 3.64-3.69
18 Pr 0.5000 0.0000 0.1039  2 Ho 3.64, 8 Pr 3.64-3.75, 2 Ca 3.75
19 Pr 0.0000 0.5000 0.5000  4 Ho 3.66, 8 Pr 3.67-3.69
20 Ho 0.0000 0.0000 0.5992  12 Pr 3.66-3.69

E in eV per formula unit: -91.64
Energy of formation from the pure elements in eV per atom: 0.018



(7)
Entry from the Alexandria database: an optimized crystal structure of CaPr3Ho3 (PBE).

Cell lengths 9.7260, 6.8542, 9.8718 Å; angles 66.45, 60.42, 60.06 degrees
Closest atoms and distances in Å follow each position.
Atoms (fractional coordinates):
1 Ca 0.5547 0.7511 0.9343  2 Ca 3.61-3.66, 4 Ho 3.64-3.86, 6 Pr 3.67-3.84
2 Ho 0.0196 0.2483 0.3518  6 Pr 3.53-3.83, 5 Ho 3.54-3.75, 1 Ca 3.68
3 Ca 0.4453 0.2489 0.0657  2 Ca 3.61-3.66, 4 Ho 3.64-3.86, 6 Pr 3.67-3.84
4 Pr 0.1556 0.2423 0.9170  6 Pr 3.62-3.66, 4 Ho 3.64-3.86, 2 Ca 3.69-3.79
5 Ho 0.3997 0.7476 0.3782  4 Pr 3.53-3.86, 6 Ho 3.54-3.63, 2 Ca 3.64-3.86
6 Ho 0.6003 0.2524 0.6218  4 Pr 3.53-3.86, 6 Ho 3.54-3.63, 2 Ca 3.64-3.86
7 Ho 0.3123 0.2493 0.4947  6 Ho 3.54-3.75, 5 Pr 3.57-3.65, 1 Ca 3.77
8 Pr 0.1140 0.7504 0.2426  6 Ho 3.53-3.65, 3 Pr 3.63-3.64, 2 Ca 3.67-3.84
9 Pr 0.8444 0.7577 0.0830  6 Pr 3.62-3.66, 4 Ho 3.64-3.86, 2 Ca 3.69-3.79
10 Pr 0.7345 0.2563 0.2169  5 Ho 3.53-3.65, 4 Pr 3.62-3.66, 2 Ca 3.70-3.81
11 Ho 0.6877 0.7507 0.5053  6 Ho 3.54-3.75, 5 Pr 3.57-3.65, 1 Ca 3.77
12 Pr 0.8860 0.2496 0.7574  6 Ho 3.53-3.65, 3 Pr 3.63-3.64, 2 Ca 3.67-3.84
13 Pr 0.2655 0.7437 0.7831  5 Ho 3.53-3.65, 4 Pr 3.62-3.66, 2 Ca 3.70-3.81
14 Ho 0.9804 0.7517 0.6482  6 Pr 3.53-3.83, 5 Ho 3.54-3.75, 1 Ca 3.68

E in eV per formula unit: -29.78
Energy of formation from the pure elements in eV per atom: 0.041



(8)
Entry from the Alexandria database: an optimized crystal structure of CaPr8Ho3 (PBE).

Cell lengths 3.6815, 13.2660, 13.1983 Å; angles 43.30, 81.99, 73.93 degrees
Closest atoms and distances in Å follow each position.
Atoms (fractional coordinates):
1 Ho 0.1272 0.4500 0.8398  9 Pr 3.60-3.71, 2 Ho 3.68, 1 Ca 3.75
2 Ca 0.8721 0.8735 0.5033  2 Ca 3.68, 3 Ho 3.70-3.75, 7 Pr 3.72-3.77
3 Pr 0.6309 0.6149 0.5036  8 Pr 3.61-3.80, 2 Ho 3.70-3.71, 2 Ca 3.77
4 Pr 0.3784 0.6967 0.8446  5 Pr 3.54-3.68, 5 Ho 3.58-3.85, 2 Ca 3.72
5 Ho 0.1180 0.1307 0.4964  7 Pr 3.58-3.85, 3 Ho 3.62-3.68, 2 Ca 3.70-3.71
6 Pr 0.3732 0.0431 0.1605  1 Ho 3.60, 9 Pr 3.64-3.80, 2 Ca 3.75-3.76
7 Ho 0.8765 0.5377 0.1667  9 Pr 3.58-3.72, 3 Ho 3.62-3.68
8 Pr 0.3772 0.3730 0.4949  4 Ho 3.58-3.63, 8 Pr 3.66-3.71
9 Pr 0.8731 0.2085 0.8311  10 Pr 3.61-3.75, 2 Ho 3.66
10 Pr 0.1259 0.7889 0.1663  10 Pr 3.68-3.73, 2 Ho 3.69
11 Pr 0.6183 0.2972 0.1621  5 Pr 3.54-3.74, 6 Ho 3.61-3.68, 1 Ca 3.76
12 Pr 0.6274 0.9555 0.8272  3 Ho 3.62-3.72, 9 Pr 3.63-3.75

E in eV per formula unit: -53.60
Energy of formation from the pure elements in eV per atom: 0.031



(9)
Entry from the Alexandria database: an optimized crystal structure of Ca2Pr8Ho (PBE).

Cell lengths 5.2901, 8.2485, 9.8341 Å; angles 103.83, 105.60, 90.00 degrees
Closest atoms and distances in Å follow each position.
Atoms (fractional coordinates):
1 Ca 0.8642 0.8218 0.7285  10 Pr 3.71-3.79, 2 Ho 3.73
2 Pr 0.4109 0.5409 0.8218  9 Pr 3.60-3.81, 1 Ho 3.74, 2 Ca 3.76
3 Pr 0.9539 0.2760 0.9079  8 Pr 3.62-3.73, 2 Ca 3.71-3.73, 2 Ho 3.73
4 Ca 0.1358 0.1782 0.2715  10 Pr 3.71-3.79, 2 Ho 3.73
5 Pr 0.3203 0.0975 0.6406  8 Pr 3.63-3.81, 1 Ho 3.69, 3 Ca 3.71-3.72
6 Pr 0.6797 0.9025 0.3594  8 Pr 3.63-3.81, 1 Ho 3.69, 3 Ca 3.71-3.72
7 Pr 0.7759 0.3646 0.5518  9 Pr 3.62-3.81, 3 Ca 3.73-3.79
8 Pr 0.5891 0.4591 0.1782  9 Pr 3.60-3.81, 1 Ho 3.74, 2 Ca 3.76
9 Pr 0.0461 0.7240 0.0921  8 Pr 3.62-3.73, 2 Ca 3.71-3.73, 2 Ho 3.73
10 Pr 0.2241 0.6354 0.4482  9 Pr 3.62-3.81, 3 Ca 3.73-3.79
11 Ho 0.5000 0.0000 0.0000  8 Pr 3.69-3.74, 4 Ca 3.73

E in eV per formula unit: -46.29
Energy of formation from the pure elements in eV per atom: 0.048



(10)
Entry from the Alexandria database: an optimized crystal structure of CaPr8Ho5 (PBE).

Cell lengths 8.6892, 8.6890, 8.6892 Å; angles 111.14, 106.19, 111.14 degrees
Closest atoms and distances in Å follow each position.
Atoms (fractional coordinates):
1 Pr 0.5275 0.6032 0.2717  5 Ho 3.44-3.69, 3 Pr 3.66-3.68
2 Ho 0.8173 0.6884 0.7255  8 Pr 3.41-3.69, 2 Ho 3.53
3 Pr 0.5749 0.9206 0.8408  4 Ho 3.22-3.52, 1 Ca 3.34
4 Ho 0.8711 0.9082 0.1827  8 Pr 3.41-3.69, 2 Ho 3.53
5 Pr 0.6685 0.3968 0.9243  5 Ho 3.44-3.69, 3 Pr 3.66-3.68
6 Pr 0.1592 0.7341 0.0797  4 Ho 3.22-3.52, 1 Ca 3.34
7 Ho 0.2745 0.0918 0.9629  8 Pr 3.41-3.69, 2 Ho 3.53
8 Ca 0.2500 0.5000 0.7500  4 Pr 3.34
9 Pr 0.0757 0.7442 0.4725  5 Ho 3.44-3.69, 3 Pr 3.66-3.68
10 Ho 0.0371 0.3116 0.1289  8 Pr 3.41-3.69, 2 Ho 3.53
11 Pr 0.9203 0.0794 0.6544  4 Ho 3.22-3.52, 1 Ca 3.34
12 Pr 0.7283 0.2558 0.3314  5 Ho 3.44-3.69, 3 Pr 3.66-3.68
13 Pr 0.3456 0.2659 0.4251  4 Ho 3.22-3.52, 1 Ca 3.34
14 Ho 0.5000 0.0000 0.5000  8 Pr 3.22-3.44

E in eV per formula unit: -59.82
Energy of formation from the pure elements in eV per atom: 0.236



(11)
Entry from the Alexandria database: an optimized crystal structure of CaPr3Ho4 (PBE).

Cell lengths 5.7729, 3.6275, 13.5623 Å; angles 89.89, 102.29, 90.00 degrees
Closest atoms and distances in Å follow each position.
Atoms (fractional coordinates):
1 Ho 0.2761 0.4987 0.5522  3 Ho 3.15-3.20
2 Ho 0.7239 0.5013 0.4478  3 Ho 3.15-3.20
3 Pr 0.1547 0.9999 0.3094  2 Pr 3.63, 10 Ho 3.65-3.88
4 Pr 0.0000 0.5000 0.0000  4 Ca 3.41, 2 Pr 3.63
5 Ca 0.5000 0.0000 0.0000  4 Ho 3.32, 4 Pr 3.41, 2 Ca 3.63
6 Ho 0.6050 0.4992 0.2100  1 Ho 3.15, 2 Ca 3.32
7 Pr 0.8453 0.0001 0.6906  2 Pr 3.63, 10 Ho 3.65-3.88
8 Ho 0.3950 0.5008 0.7900  1 Ho 3.15, 2 Ca 3.32

E in eV per formula unit: -32.83
Energy of formation from the pure elements in eV per atom: 0.228



(12)
Entry from the Alexandria database: an optimized crystal structure of Ca2Pr2Ho (PBE).

Cell lengths 3.7045, 3.7045, 15.5330 Å; angles 90.02, 90.02, 59.99 degrees
Closest atoms and distances in Å follow each position.
Atoms (fractional coordinates):
1 Pr 0.6659 0.6659 0.8154  3 Ho 3.58, 6 Pr 3.70, 3 Ca 3.89
2 Pr 0.3341 0.3341 0.1846  3 Ho 3.58, 6 Pr 3.70, 3 Ca 3.89
3 Ca 0.6662 0.6662 0.3939  9 Ca 3.70-3.93, 3 Pr 3.89
4 Ho 0.0000 0.0000 0.0000  6 Pr 3.58, 6 Ho 3.70
5 Ca 0.3338 0.3338 0.6061  9 Ca 3.70-3.93, 3 Pr 3.89

Excess energy over the best structure of this formula in the dataset in eV per atom: 0.000
E in eV per formula unit: -17.99
Energy of formation from the pure elements in eV per atom: 0.030